The following is a DFT calculation (meta-GGA SCAN) of a crystal of CoSbRh2 relaxed with PBEsol.

Unit cell a=2.9313 b=4.4963 c=4.4963 alpha=104.43 beta=90.00 gamma=90.00
Closest atoms and distances in Å follow each position.
Positions (direct):
Sb (0.5000, 0.0000, 0.0000)  8 Rh 2.68, 2 Co 2.75, 2 Sb 2.93
Rh (0.0000, 0.5000, 0.0000)  4 Sb 2.68, 4 Co 2.68, 4 Rh 2.75-2.93
Rh (0.0000, 0.0000, 0.5000)  4 Co 2.68, 4 Sb 2.68, 4 Rh 2.75-2.93
Co (0.5000, 0.5000, 0.5000)  8 Rh 2.68, 2 Sb 2.75, 2 Co 2.93

Summary:
- magnetic moment (μB per cell) = 2.41
- E_form (uncorrected) (eV/atom) = -0.084